Entry from the Alexandria database: a relaxed Li2MoW crystal (PBE).

CIF file:
```
data_Li2MoW
_symmetry_space_group_name_H-M 'C 1 2/m 1'
_symmetry_Int_Tables_number 12
_cell_length_a 5.1881
_cell_length_b 9.8806
_cell_length_c 2.6067
_cell_angle_alpha 90.00
_cell_angle_beta 111.13
_cell_angle_gamma 90.00
loop_
_symmetry_equiv_pos_as_xyz
'x,y,z'
'-x,-y,-z'
'-x,y,-z'
'x,-y,z'
'x+1/2,y+1/2,z'
'-x+1/2,-y+1/2,-z'
'-x+1/2,y+1/2,-z'
'x+1/2,-y+1/2,z'
loop_
_atom_site_label
_atom_site_type_symbol
_atom_site_fract_x
_atom_site_fract_y
_atom_site_fract_z
Li1 Li 0.2500 0.2500 0.0000
Mo1 Mo 0.0000 0.0000 0.5000
W1 W 0.0000 0.5000 0.5000
```

Summary:
The density of states at the Fermi level comes out at 3.063 states/eV/f.u. Its density is 7.82 g/cm3. The calculation puts the energy at -6.46 eV/atom. The value obtained for the calculated formation energy is 1.8 eV/f.u. For the polymorph energy (0 for the lowest one), the calculation gives 0.2036 eV per atom.